Record 1
# GGA-PBE YBi2Te2, relaxed
# * formation energy without anion corrections: -0.37 eV/atom
# * calculated total energy: -44.7 eV per cell
data_YBi2Te2
_cell_length_a 8.2233
_cell_length_b 8.2233
_cell_length_c 4.7605
_cell_angle_alpha 90.00
_cell_angle_beta 90.00
_cell_angle_gamma 90.00
_symmetry_space_group_name_H-M 'P 4/m b m'
_symmetry_Int_Tables_number 127
_symmetry_space_group_name_Hall '-P 4 2ab'
loop_
_atom_site_label
_atom_site_type_symbol
_atom_site_fract_x
_atom_site_fract_y
_atom_site_fract_z
_atom_site_occupancy
Y1 Y 0.0000 0.0000 0.0000 1
Bi1 Bi 0.1627 0.3373 0.5000 1
Te1 Te 0.1644 0.6644 0.0000 1

***

Record 2
# GGA-PBE Cu3OF5, relaxed
# * formation energy without anion corrections: -1.28 eV/atom
# * calculated total energy: -76.2 eV per cell
data_Cu3OF5
_cell_length_a 5.7106
_cell_length_b 4.6877
_cell_length_c 7.6380
_cell_angle_alpha 90.00
_cell_angle_beta 91.46
_cell_angle_gamma 90.00
_symmetry_space_group_name_H-M 'P 1 21 1'
_symmetry_Int_Tables_number 4
_symmetry_space_group_name_Hall 'P 2yb'
loop_
_atom_site_label
_atom_site_type_symbol
_atom_site_fract_x
_atom_site_fract_y
_atom_site_fract_z
_atom_site_occupancy
Cu1 Cu 0.0783 0.0000 0.3264 1
Cu2 Cu 0.2539 0.4980 0.9884 1
Cu3 Cu 0.3939 0.9572 0.6693 1
O1 O 0.2033 0.6668 0.7711 1
F1 F 0.0925 0.7906 0.1010 1
F2 F 0.1123 0.1790 0.5611 1
F3 F 0.2960 0.3026 0.2169 1
F4 F 0.3801 0.7853 0.4295 1
F5 F 0.4097 0.1856 0.8891 1

***

Record 3
# GGA-PBE BaLaBe2, relaxed
# * energy relative to the elements: 865 meV/atom
# * calculated total energy: -43.4 eV per cell
data_BaLaBe2
_cell_length_a 8.1729
_cell_length_b 8.1729
_cell_length_c 7.3679
_cell_angle_alpha 90.00
_cell_angle_beta 90.00
_cell_angle_gamma 90.00
_symmetry_space_group_name_H-M 'I -4 2 d'
_symmetry_Int_Tables_number 122
_symmetry_space_group_name_Hall 'I -4 2bw'
loop_
_atom_site_label
_atom_site_type_symbol
_atom_site_fract_x
_atom_site_fract_y
_atom_site_fract_z
_atom_site_occupancy
Ba1 Ba 0.0000 0.0000 0.0000 1
La1 La 0.0000 0.0000 0.5000 1
Be1 Be 0.2177 0.2500 0.6250 1

***

Record 4
# GGA-PBE ScP2PbO8, relaxed
# * formation energy without anion corrections: -2.26 eV/atom
# * calculated total energy: -87.7 eV per cell
data_ScP2PbO8
_cell_length_a 5.3074
_cell_length_b 5.3074
_cell_length_c 7.1774
_cell_angle_alpha 90.00
_cell_angle_beta 90.00
_cell_angle_gamma 120.00
_symmetry_space_group_name_H-M 'P -3 m 1'
_symmetry_Int_Tables_number 164
_symmetry_space_group_name_Hall '-P 3 2"'
loop_
_atom_site_label
_atom_site_type_symbol
_atom_site_fract_x
_atom_site_fract_y
_atom_site_fract_z
_atom_site_occupancy
Sc1 Sc 0.0000 0.0000 0.0000 1
P1 P 0.3333 0.6667 0.2566 1
Pb1 Pb 0.0000 0.0000 0.5000 1
O1 O 0.1746 0.3492 0.1853 1
O2 O 0.3333 0.6667 0.4720 1

***

Record 5
# GGA-PBE MoP, relaxed
# * energy relative to the elements: -222 meV/atom
# * calculated total energy: -100.1 eV per cell
data_MoP
_cell_length_a 3.2302
_cell_length_b 9.1420
_cell_length_c 6.3385
_cell_angle_alpha 90.00
_cell_angle_beta 90.00
_cell_angle_gamma 90.00
_symmetry_space_group_name_H-M 'A m m 2'
_symmetry_Int_Tables_number 38
_symmetry_space_group_name_Hall 'A 2 -2'
loop_
_atom_site_label
_atom_site_type_symbol
_atom_site_fract_x
_atom_site_fract_y
_atom_site_fract_z
_atom_site_occupancy
Mo1 Mo 0.0000 0.0000 0.0000 1
Mo2 Mo 0.5000 0.2479 0.5794 1
P1 P 0.0000 0.1407 0.3332 1
P2 P 0.5000 0.0000 0.7268 1

***

Record 6
# GGA-PBE CeSnHgAu, relaxed
# * energy relative to the elements: -493 meV/atom
# * calculated total energy: -62.0 eV per cell
data_CeSnHgAu
_cell_length_a 7.2895
_cell_length_b 7.2895
_cell_length_c 7.2895
_cell_angle_alpha 90.00
_cell_angle_beta 90.00
_cell_angle_gamma 90.00
_symmetry_space_group_name_H-M 'F -4 3 m'
_symmetry_Int_Tables_number 216
_symmetry_space_group_name_Hall 'F -4 2 3'
loop_
_atom_site_label
_atom_site_type_symbol
_atom_site_fract_x
_atom_site_fract_y
_atom_site_fract_z
_atom_site_occupancy
Ce1 Ce 0.0000 0.0000 0.0000 1
Sn1 Sn 0.0000 0.0000 0.5000 1
Hg1 Hg 0.2500 0.2500 0.2500 1
Au1 Au 0.2500 0.2500 0.7500 1

***

Question: What is the formula in the fourth record?
Answer: ScP2PbO8

***

Question: What is the formula in the sixth record?
Answer: CeSnHgAu

***

Question: Look up the calculated total energy of the second one.
Answer: -76.2 eV per cell